1.
## CaGa3Ir (PBE)

Data for an optimized crystal structure of CaGa3Ir.

a b c (Å): 5.705 6.283 6.297
angles (deg): 119.92 90.04 90.00
Fractional positions:
Ca: 0.250 0.335 0.669
Ca: 0.750 0.665 0.331
Ga: 0.750 0.616 0.806
Ga: 0.750 0.190 0.806
Ga: 0.250 0.808 0.617
Ga: 0.750 0.192 0.383
Ga: 0.250 0.810 0.194
Ga: 0.250 0.384 0.194
Ir: 0.000 0.000 0.000
Ir: 0.500 0.000 0.000

Properties
Space group: No. 63
Calculated density in g/cm³: 7.5
Density of states at the Fermi level in states/eV/cell: 4.5
Raw total energy in eV per atom: -4.42
Size of the total moment in μB/f.u.: 0.000

2.
## CaGaIr2 (PBE)

Data for an optimized crystal structure of CaGaIr2.

a b c (Å): 4.681 4.681 9.185
angles (deg): 75.24 75.24 90.00
Each line ends with the local moment (μB).
Fractional positions:
Ca: 0.500 0.500 0.000  0.00
Ca: 0.250 0.750 0.500  0.00
Ir: 0.793 0.125 0.250  0.21
Ir: 0.957 0.625 0.250  0.20
Ir: 0.375 0.207 0.750  0.09
Ir: 0.875 0.043 0.750  0.09
Ga: 0.000 0.000 0.000  0.00
Ga: 0.750 0.250 0.500  0.00

Properties
Space group: No. 122
Calculated density in g/cm³: 8.7
Density of states at the Fermi level in states/eV/cell: 7.0
Raw total energy in eV per atom: -5.72
Size of the total moment in μB/f.u.: 0.282

3.
## Ca3Ga6Ir5 (PBE)

Data for an optimized crystal structure of Ca3Ga6Ir5.

a b c (Å): 4.214 9.397 12.751
angles (deg): 90.00 90.00 90.00
Fractional positions:
Ca: 0.000 0.252 0.696
Ca: 0.500 0.748 0.196
Ca: 0.500 0.748 0.804
Ca: 0.000 0.256 0.000
Ca: 0.500 0.744 0.500
Ca: 0.000 0.252 0.304
Ga: 0.000 0.975 0.844
Ga: 0.500 0.025 0.656
Ga: 0.500 0.404 0.819
Ga: 0.500 0.579 0.000
Ga: 0.000 0.421 0.500
Ga: 0.000 0.596 0.681
Ga: 0.000 0.596 0.319
Ga: 0.500 0.956 0.000
Ga: 0.000 0.975 0.156
Ga: 0.500 0.404 0.181
Ga: 0.000 0.044 0.500
Ga: 0.500 0.025 0.344
Ir: 0.000 0.536 0.885
Ir: 0.000 0.872 0.656
Ir: 0.000 0.793 0.000
Ir: 0.500 0.464 0.615
Ir: 0.500 0.207 0.500
Ir: 0.000 0.536 0.115
Ir: 0.500 0.464 0.385
Ir: 0.000 0.872 0.344
Ir: 0.500 0.128 0.844
Ir: 0.500 0.128 0.156

Properties
Space group: No. 59
Calculated density in g/cm³: 9.9
Density of states at the Fermi level in states/eV/cell: 10.0
Raw total energy in eV per atom: -5.45
Size of the total moment in μB/f.u.: 0.000

4.
## CaGa2Ir2 (PBE)

Data for an optimized crystal structure of CaGa2Ir2.

a b c (Å): 4.225 4.225 6.095
angles (deg): 69.72 69.72 90.00
Fractional positions:
Ca: 0.000 0.000 0.000
Ir: 0.384 0.384 0.233
Ir: 0.616 0.616 0.767
Ga: 0.750 0.250 0.500
Ga: 0.250 0.750 0.500

Properties
Space group: No. 139
Calculated density in g/cm³: 9.9
Density of states at the Fermi level in states/eV/cell: 1.9
Raw total energy in eV per atom: -5.70
Size of the total moment in μB/f.u.: 0.000

5.
## CaGaIr (PBE)

Data for an optimized crystal structure of CaGaIr.

a b c (Å): 5.336 5.336 5.336
angles (deg): 95.34 114.99 118.98
Fractional positions:
Ca: 0.250 0.136 0.886
Ca: 0.750 0.864 0.114
Ga: 0.000 0.500 0.500
Ga: 0.500 0.000 0.500
Ir: 0.500 0.500 0.500
Ir: 0.000 0.500 0.000

Properties
Space group: No. 74
Calculated density in g/cm³: 9.0
Density of states at the Fermi level in states/eV/cell: 2.7
Raw total energy in eV per atom: -5.20
Size of the total moment in μB/f.u.: 0.000

6.
## Ca2Ga3Ir (PBE)

Data for an optimized crystal structure of Ca2Ga3Ir.

a b c (Å): 5.506 5.506 5.433
angles (deg): 89.95 120.28 120.22
Fractional positions:
Ca: 0.744 0.372 0.117
Ca: 0.256 0.628 0.883
Ga: 0.500 0.500 0.500
Ga: 0.000 0.000 0.500
Ga: 0.500 0.000 0.500
Ir: 0.000 0.000 0.000

Properties
Space group: No. 12
Calculated density in g/cm³: 6.9
Density of states at the Fermi level in states/eV/cell: 3.3
Raw total energy in eV per atom: -4.18
Size of the total moment in μB/f.u.: 0.000